[1]
The following is a PBE calculation of a relaxed structure of ZrRe2Au, from the Open Quantum Materials Database.

Total moment ... 0.00 Bohr magnetons per cell
DFT formation energy ... 0.213 eV/atom

a b c (Å): 4.588 4.588 4.588
angles (deg): 60.00 60.00 60.00
Positions (direct):
Zr 0.000 0.000 0.000
Re 0.500 0.500 0.500
Re 0.750 0.750 0.750
Au 0.250 0.250 0.250

=====

[2]
The following is a PBE calculation of a relaxed structure of AuS, from the Open Quantum Materials Database.

DFT total energy ... -3.49 eV per atom

a b c (Å): 4.008 4.008 4.008
angles (deg): 60.00 60.00 60.00
Positions (direct):
Au 0.000 0.000 0.000
S 0.750 0.750 0.750

=====

[3]
The following is a PBE calculation of a relaxed structure of AuS, from the Open Quantum Materials Database.

DFT total energy ... -3.50 eV per atom

a b c (Å): 3.731 3.731 3.731
angles (deg): 60.00 60.00 60.00
Positions (direct):
Au 0.000 0.000 0.000
S 0.500 0.500 0.500